Entry from the Alexandria database: a relaxed Na2CoRh crystal (GGA-PBE).

Properties
Excess energy over the best structure of this formula in the dataset (meV per atom): 0
Calculated total energy (eV for the cell shown): -27.42
Energy of formation (meV per atom): 847
Calculated volume (A^3/atom): 19.087
Symmetry: I-42d, No. 122

Lattice parameters (Å, degrees): 6.081 6.081 6.081 99.52 99.52 132.00
Atoms (fractional coordinates):
Na 0.122 0.625 0.997
Na 0.375 0.372 0.497
Na 0.628 0.125 0.003
Na 0.875 0.878 0.503
Co 0.000 0.000 0.000
Co 0.750 0.250 0.500
Rh 0.250 0.750 0.500
Rh 0.500 0.500 0.000